1.
An optimized crystal structure of CaBe4, computed with GGA-PBE.

Calculated total energy, eV per atom: -0.950
Total moment, μB per formula unit: 0.0

a = 5.0979 Å, b = 5.0979 Å, c = 5.0979 Å
α = 90.00°, β = 90.00°, γ = 90.00°
Last column: nearest neighbours and their distance in Å.
Space group Pm-3m (No. 221)
One atom of each set of equivalent atoms:
Ca: 0.0000 0.0000 0.0000 (multiplicity 1)  6 Be 2.55
Be: 0.0000 0.0000 0.5000 (multiplicity 3)  2 Ca 2.55
Be: 0.5000 0.5000 0.5000 (multiplicity 1)  12 Be 3.60

---

2.
An optimized crystal structure of CaBe, computed with GGA-PBE.

Energy above the lowest structure with this stoichiometry, kJ/mol of atoms: 19.36
Total moment, μB per formula unit: 0.0

a = 3.2162 Å, b = 3.2162 Å, c = 8.3055 Å
α = 90.00°, β = 90.00°, γ = 90.00°
Last column: nearest neighbours and their distance in Å.
Space group P4/nmm (No. 129, origin choice 2)
One atom of each set of equivalent atoms:
Ca: 0.2500 0.2500 0.1989 (multiplicity 2)  5 Be 2.88-3.11, 4 Ca 3.22
Be: 0.2500 0.2500 0.5457 (multiplicity 2)  4 Be 2.40

---

3.
An optimized crystal structure of CaBe, computed with GGA-PBE.

Energy above the lowest structure with this stoichiometry, kJ/mol of atoms: 0.00
Total moment, μB per formula unit: 0.0

a = 3.9897 Å, b = 3.9897 Å, c = 14.5422 Å
α = 90.00°, β = 90.00°, γ = 120.00°
Last column: nearest neighbours and their distance in Å.
Space group P6_3/mmc (No. 194)
One atom of each set of equivalent atoms:
Ca: 0.3333 0.6667 0.1210 (multiplicity 4)  6 Be 2.97
Be: 0.0000 0.0000 0.2500 (multiplicity 2)  3 Be 2.30
Be: 0.3333 0.6667 0.7500 (multiplicity 2)  3 Be 2.30

---

4.
An optimized crystal structure of CaBeCd2, computed with GGA-PBE.

Calculated total energy, eV per atom: -1.769
Total moment, μB per formula unit: 0.0

a = 3.2804 Å, b = 3.2804 Å, c = 7.8384 Å
α = 90.00°, β = 90.00°, γ = 90.00°
Last column: nearest neighbours and their distance in Å.
Space group P4mm (No. 99)
One atom of each set of equivalent atoms:
Ca: 0.0000 0.0000 0.0000 (multiplicity 1)  4 Be 3.07, 4 Ca 3.28, 5 Cd 3.32-3.33
Be: 0.5000 0.5000 0.7433 (multiplicity 1)  4 Cd 2.67
Cd: 0.0000 0.0000 0.5758 (multiplicity 1)  4 Be 2.67
Cd: 0.5000 0.5000 0.3033 (multiplicity 1)  8 Cd 3.15-3.28, 4 Ca 3.32, 1 Be 3.45

---

5.
An optimized crystal structure of Ca2BeCd2, computed with GGA-PBE.

Energy above the lowest structure with this stoichiometry, kJ/mol of atoms: 0.00
Total moment, μB per formula unit: 0.0

a = 7.0780 Å, b = 7.0780 Å, c = 5.0859 Å
α = 90.00°, β = 90.00°, γ = 90.00°
Last column: nearest neighbours and their distance in Å.
Space group P4/mbm (No. 127)
One atom of each set of equivalent atoms:
Ca: 0.1754 0.3246 0.0000 (multiplicity 4)  6 Cd 3.11-3.42
Be: 0.0000 0.0000 0.5000 (multiplicity 2)  4 Cd 2.71
Cd: 0.1463 0.6463 0.5000 (multiplicity 4)  2 Be 2.71, 1 Cd 2.93

---

6.
An optimized crystal structure of Ca2BeCd, computed with GGA-PBE.

Energy above the lowest structure with this stoichiometry, kJ/mol of atoms: 3.49
Total moment, μB per formula unit: 0.0

a = 7.3722 Å, b = 7.4346 Å, c = 3.6836 Å
α = 90.00°, β = 90.19°, γ = 90.00°
Last column: nearest neighbours and their distance in Å.
Space group C2/m (No. 12)
One atom of each set of equivalent atoms:
Ca: 0.2500 0.2500 0.0000 (multiplicity 4)  4 Cd 3.20, 4 Be 3.20
Be: 0.0000 0.0000 0.5000 (multiplicity 2)  8 Ca 3.20
Cd: 0.0000 0.5000 0.5000 (multiplicity 2)  8 Ca 3.20

---

| no. | DOS(E_F) (states/eV/atom) |
| --- | --- |
| 1 | 0.777 |
| 2 | 0.662 |
| 3 | 0.817 |
| 4 | 0.532 |
| 5 | 0.949 |
| 6 | 0.697 |